VASP calculation (PBE+U) on crystalline AcAlCoO4 at its relaxed geometry.

```
7
Lattice="-2.371 -0.406 -4.925 1.757 -5.175 -0.419 -2.563 1.697 4.144" Properties=species:S:1:pos:R:3 pbc="T T T"
O -0.354 -3.893 -1.265
O -2.051 -1.938 0.126
O -1.948 -2.332 -3.214
O -2.002 0.394 1.953
Co -0.557 -3.134 0.527
Al -0.307 -2.791 -2.672
Ac 0.000 0.000 0.000
```

Output
- space-group type = I-4, No. 82
- total magnetization (μB/f.u.) = 3.0
- electronic total energy (eV per atom) = -7.20